Entry 1:
Density functional theory data (PBE) for an optimized crystal structure of Th3Ga3Cu2.

DOS(E_F)   11.97 states/eV per cell
Energy of formation   -0.444 eV per atom

abc: 5.725 5.725 14.880
angles: 90.00 90.00 134.45
Fractional coordinates of all 16 atoms:
1 Th 0.093 0.907 0.610
2 Th 0.093 0.907 0.890
3 Th 0.370 0.630 0.750
4 Th 0.630 0.370 0.250
5 Th 0.907 0.093 0.110
6 Th 0.907 0.093 0.390
7 Ga 0.334 0.666 0.250
8 Ga 0.385 0.615 0.540
9 Ga 0.385 0.615 0.960
10 Ga 0.615 0.385 0.040
11 Ga 0.615 0.385 0.460
12 Ga 0.666 0.334 0.750
13 Cu 0.204 0.796 0.096
14 Cu 0.204 0.796 0.404
15 Cu 0.796 0.204 0.596
16 Cu 0.796 0.204 0.904

---

Entry 2:
Density functional theory data (PBE) for an optimized crystal structure of DyCdI.

Formation energy without anion corrections   -0.46 eV per atom
DOS(E_F)   3.39 states/eV per cell

abc: 4.227 4.249 12.789
angles: 90.00 90.00 90.00
Fractional coordinates of all 6 atoms:
1 Dy 0.250 0.250 0.189
2 Dy 0.750 0.750 0.811
3 Cd 0.250 0.750 0.008
4 Cd 0.750 0.250 0.992
5 I 0.250 0.750 0.642
6 I 0.750 0.250 0.358

---

Entry 3:
Density functional theory data (PBE) for an optimized crystal structure of PrDy2ScTe6.

Formation energy without anion corrections   -1.31 eV per atom

abc: 8.285 8.285 8.285
angles: 55.21 55.21 55.21
Fractional coordinates of all 10 atoms:
1 Pr 0.000 0.000 0.000
2 Dy 0.187 0.187 0.187
3 Dy 0.691 0.691 0.691
4 Sc 0.505 0.505 0.505
5 Te 0.110 0.416 0.767
6 Te 0.296 0.900 0.583
7 Te 0.416 0.767 0.110
8 Te 0.583 0.296 0.900
9 Te 0.767 0.110 0.416
10 Te 0.900 0.583 0.296

---

Entry 4:
Density functional theory data (PBE) for an optimized crystal structure of Zr8Ir.

DOS(E_F)   12.72 states/eV per cell
Energy of formation   -0.141 eV per atom

abc: 7.772 7.772 7.772
angles: 92.74 92.74 154.75
Fractional coordinates of all 9 atoms:
1 Zr 0.000 0.334 0.334
2 Zr 0.000 0.666 0.666
3 Zr 0.334 0.000 0.334
4 Zr 0.345 0.345 0.690
5 Zr 0.345 0.655 0.000
6 Zr 0.655 0.345 0.000
7 Zr 0.655 0.655 0.310
8 Zr 0.666 0.000 0.666
9 Ir 0.000 0.000 0.000

---

Entry 5:
Density functional theory data (PBE) for an optimized crystal structure of Cd2TeRu.

Formation energy without anion corrections   0.23 eV per atom
DOS(E_F)   3.72 states/eV per cell
Energy relative to the lowest polymorph listed for this composition   188 meV per atom

abc: 7.125 7.125 4.336
angles: 107.58 107.58 25.41
Fractional coordinates of all 4 atoms:
1 Cd 0.189 0.189 0.189
2 Cd 0.811 0.811 0.811
3 Te 0.000 0.000 0.500
4 Ru 0.500 0.500 0.000

---

Question: What is the formula in the fourth record?
Answer: Zr8Ir